DFT (PBE) results for an optimized crystal structure of CrAgCl2.

Cell: 7.996 7.996 7.996 Å, 29.29 29.29 29.29°
Fractional positions:
Cl  0.101  0.101  0.101
Cr  0.000  0.000  0.000
Cl  0.899  0.899  0.899
Ag  0.500  0.500  0.500

Calculated values
Calculated volume: 27.064 Å³/atom
VASP energy: -4.23 eV per atom
M_tot: 1.24 μB/atom
ΔE to the lowest computed polymorph: 0.204 eV per atom
Fermi-level density of states: 0.68 states/eV per cell
Uncorrected formation energy: -18.5 kJ per mole of atoms